PAuSe2 | PBEsol | optimized geometry

Cell lengths 2.8494, 2.8494, 9.5598 Å; angles 90.00, 90.00, 112.94 degrees
With the nearest neighbours (Å) after each atom.
Atoms (fractional coordinates):
Se  0.0000  0.0000  0.2190  2 P 2.62, 4 Se 2.85
Se  0.0000  0.0000  0.7810  2 P 2.62, 4 Se 2.85
P  0.5000  0.5000  0.0000  4 Se 2.62, 4 P 2.85
Au  0.5000  0.5000  0.5000  6 Au 2.85-3.15, 4 Se 3.11

Energy relative to the elements, uncorrected   0.4784 eV/atom
VASP energy   -3.876 eV per atom



PAuSe2 | PBEsol | optimized geometry

Cell lengths 3.2219, 3.2263, 6.7913 Å; angles 90.00, 90.00, 90.00 degrees
With the nearest neighbours (Å) after each atom.
Atoms (fractional coordinates):
P  0.5000  0.5000  0.5000  8 Se 2.77
Au  0.5000  0.5000  0.0000  8 Se 2.92, 4 Au 3.22-3.23
Se  0.0000  0.0000  0.7318  4 P 2.77, 4 Au 2.92
Se  0.0000  0.0000  0.2682  4 P 2.77, 4 Au 2.92

Energy relative to the elements, uncorrected   0.5083 eV/atom
VASP energy   -3.846 eV per atom



PAu2Se | PBEsol | optimized geometry

Cell lengths 6.0089, 6.4883, 6.0089 Å; angles 62.42, 90.00, 117.58 degrees
With the nearest neighbours (Å) after each atom.
Atoms (fractional coordinates):
Au  0.1588  0.7500  0.8750  2 P 2.33, 2 Se 2.58
Au  0.5912  0.7500  0.3750  2 P 2.33, 2 Se 2.58
Au  0.8750  0.2500  0.5912  2 P 2.33, 2 Se 2.58
Au  0.3750  0.2500  0.1588  2 P 2.33, 2 Se 2.58
Se  0.7500  0.5000  0.7500  4 Au 2.58
Se  0.0000  0.0000  0.0000  4 Au 2.58
P  0.5000  0.0000  0.5000  4 Au 2.33
P  0.2500  0.5000  0.2500  4 Au 2.33

Energy relative to the elements, uncorrected   0.1772 eV/atom
VASP energy   -4.195 eV per atom
Offset from the most stable computed form   0.000 eV per atom



PAu2Se | PBEsol | optimized geometry

Cell lengths 2.7840, 5.2027, 5.6581 Å; angles 117.37, 104.24, 90.00 degrees
With the nearest neighbours (Å) after each atom.
Atoms (fractional coordinates):
P  0.5000  0.0000  0.0000  4 Au 2.65, 2 P 2.78, 4 Se 2.95
Au  0.7667  0.7667  0.5334  2 P 2.65, 2 Au 2.78, 2 Se 2.93
Au  0.2333  0.2333  0.4666  2 P 2.65, 2 Au 2.78, 2 Se 2.93
Se  0.0000  0.5000  0.0000  2 Se 2.78, 4 Au 2.93, 4 P 2.95

Energy relative to the elements, uncorrected   0.3676 eV/atom
VASP energy   -4.005 eV per atom
Offset from the most stable computed form   0.190 eV per atom